Record 1
TlInAgSb | PBE | optimized geometry

Structure (POSCAR):
```
TlInAgSb
1.0
-3.486 2.457 3.125
-0.525 -1.477 5.050
1.699 3.174 3.873
Ag In Tl Sb
1 1 1 1
Cartesian
-0.578 1.038 3.012
-1.734 3.115 9.036
-1.156 2.077 6.024
0.000 0.000 0.000
```

Computed properties:
Its density of states at the Fermi level is 0.198 states/eV/atom. The calculation puts the formation energy without anion corrections at 92 meV/atom. Its crystal system is cubic. The value obtained for the calculated volume is 104.5 Å³/cell.

---

Record 2
Ac6Si2Se3Cl | PBE | optimized geometry

Structure (POSCAR):
```
Ac6Si2Se3Cl
1.0
-3.935 -2.193 -0.261
2.202 -2.969 -8.242
5.472 -5.901 6.083
Ac Se Si Cl
6 3 2 1
Cartesian
4.297 -7.289 -3.525
3.125 -10.213 -0.308
3.247 -5.876 0.428
-0.557 -3.774 1.105
0.615 -0.851 -2.113
0.493 -5.188 -2.849
2.988 -4.774 -4.934
-0.866 -2.581 -4.252
0.751 -6.290 2.513
1.868 -3.263 -0.746
1.872 -7.801 -1.674
-1.967 -1.097 -0.131
```

Computed properties:
Its density of states at the Fermi level is 0.391 states/eV/atom. The calculation puts the formation energy without anion corrections at -1430 meV/atom. Its crystal system is monoclinic. The value obtained for the calculated volume is 389.9 Å³/cell.

---

Record 3
Sc3PPbO | PBE | optimized geometry

Structure (POSCAR):
```
Sc3PPbO
1.0
3.675 0.000 0.000
0.000 8.579 0.568
0.000 -2.700 8.061
Sc O Pb P
6 2 2 2
Cartesian
2.756 7.039 1.720
0.919 2.519 7.182
0.919 -1.161 6.909
0.919 5.945 4.343
2.756 3.359 1.447
2.756 -0.066 4.285
2.756 6.736 3.775
0.919 -0.858 4.854
0.919 0.978 1.909
2.756 4.900 6.720
0.919 5.156 1.726
2.756 0.722 6.903
```

Computed properties:
Its density of states at the Fermi level is 0.431 states/eV/atom. The calculation puts the formation energy without anion corrections at -1579 meV/atom. Its crystal system is monoclinic. The value obtained for the calculated volume is 259.7 Å³/cell.

---

Record 4
HfTaMo6 | PBE | optimized geometry

Structure (POSCAR):
```
HfTaMo6
1.0
-0.679 -4.075 -1.862
4.617 -1.901 2.477
-4.372 -0.807 3.361
Ta Mo Hf
1 6 1
Cartesian
-1.349 -3.254 2.099
3.156 -3.802 1.656
-0.939 -1.903 4.507
1.239 -1.490 2.809
0.847 -2.870 0.459
0.966 -4.186 3.296
-1.063 -0.532 1.551
-3.241 -0.945 3.249
```

Computed properties:
Its density of states at the Fermi level is 0.550 states/eV/atom. The formation energy is -0.103 eV per atom. Its crystal system is orthorhombic. The value obtained for the calculated volume is 132.8 Å³/cell.

---

Record 5
La2YSc | PBE | optimized geometry

Structure (POSCAR):
```
La2YSc
1.0
-2.904 4.918 0.068
-5.418 0.143 -1.804
-4.240 0.762 3.751
La Y Sc
2 1 1
Cartesian
0.000 0.000 0.000
-3.140 1.456 0.504
-9.421 4.368 1.511
-6.281 2.912 1.007
```

Computed properties:
Its density of states at the Fermi level is 2.719 states/eV/atom. The formation energy is 0.167 eV per atom. Its crystal system is cubic. The value obtained for the calculated volume is 131.8 Å³/cell.

---

Record 6
MnFe2As8 | PBE | optimized geometry

Structure (POSCAR):
```
MnFe2As8
1.0
-1.395 3.781 -2.032
-0.444 -4.748 -5.783
-6.181 -4.169 -0.768
As Mn Fe
8 1 2
Cartesian
-3.350 -2.354 -6.544
-4.671 -2.782 -2.039
-4.368 -5.306 -4.385
-6.289 -2.058 -3.975
-6.418 -4.771 -6.792
-1.731 -3.079 -4.609
-3.652 0.170 -4.198
-1.602 -0.365 -1.791
0.000 0.000 0.000
-2.328 1.482 -2.834
-5.692 -6.618 -5.749
```

Computed properties:
Its density of states at the Fermi level is 0.497 states/eV/atom. The formation energy is 0.100 eV per atom. Its crystal system is monoclinic. The value obtained for the calculated volume is 218.3 Å³/cell.

---

Record 7
CeZn3Cd3 | PBE | optimized geometry

Structure (POSCAR):
```
CeZn3Cd3
1.0
4.773 0.000 0.000
0.000 7.292 -4.161
0.000 -0.028 8.414
Cd Ce Zn
6 2 6
Cartesian
1.193 1.534 7.309
1.193 5.519 3.442
3.580 7.089 2.339
1.193 0.174 1.914
3.580 1.744 0.811
3.580 5.730 -3.056
1.193 4.846 0.029
3.580 2.418 4.223
1.193 2.916 2.459
3.580 4.348 1.794
1.193 3.689 5.550
1.193 0.630 4.660
3.580 6.633 -0.408
3.580 3.574 -1.297
```

Computed properties:
Its density of states at the Fermi level is 0.959 states/eV/atom. The formation energy is -0.070 eV per atom. Its crystal system is monoclinic. The value obtained for the calculated volume is 292.3 Å³/cell.

---

Record 8
Sm4TlGa2 | PBE | optimized geometry

Structure (POSCAR):
```
Sm4TlGa2
1.0
4.954 0.000 1.548
2.235 4.421 1.548
-0.078 -0.048 8.951
Sm Ga Tl
4 2 1
Cartesian
4.416 2.715 3.272
6.218 3.824 6.207
0.894 0.550 5.840
2.696 1.658 8.775
5.332 3.279 9.042
1.780 1.095 3.005
0.000 0.000 0.000
```

Computed properties:
Its density of states at the Fermi level is 1.031 states/eV/atom. The formation energy is -0.360 eV per atom. Its crystal system is trigonal. The value obtained for the calculated volume is 196.8 Å³/cell.